# ZrHg

ZrHg after structural relaxation (PBE-GGA, OQMD).

The space group is Pmc2_1 (No. 26) and the conventional cell measures 5.0628, 9.6449 and 5.3391 Å, with angles of 90.00, 90.00 and 90.00 degrees. Symmetry generates all atoms from Zr at (0.0000, 0.0828, 0.0000), Zr at (0.0000, 0.4159, 0.9619), Zr at (0.5000, 0.4045, 0.3758), Hg at (0.0000, 0.2427, 0.4871), Hg at (0.5000, 0.0738, 0.3466) and Hg at (0.5000, 0.2561, 0.8785).

The calculation puts the energy relative to the elements at -27 meV per atom.

=====

# Zr2Hg

Zr2Hg after structural relaxation (PBE-GGA, OQMD).

The space group is Fd-3m (No. 227, origin choice 2) and the conventional cell measures 12.2691, 12.2691 and 12.2691 Å, with angles of 90.00, 90.00 and 90.00 degrees. Symmetry generates all atoms from Zr at (0.0000, 0.0000, 0.0000) and Hg at (0.1250, 0.1250, 0.1250).

The calculation puts the energy relative to the elements at 2632 meV per atom.

=====

# Zr2Hg

Zr2Hg after structural relaxation (PBE-GGA, OQMD).

The space group is Fm-3m (No. 225) and the conventional cell measures 6.7094, 6.7094 and 6.7094 Å, with angles of 90.00, 90.00 and 90.00 degrees. Symmetry generates all atoms from Zr at (0.2500, 0.2500, 0.2500) and Hg at (0.0000, 0.0000, 0.0000).

The calculation puts the energy relative to the elements at 326 meV per atom.

=====

# Zr2Hg

Zr2Hg after structural relaxation (PBE-GGA, OQMD).

The space group is Pmmn (No. 59, origin choice 2) and the conventional cell measures 5.1628, 9.1441 and 5.6447 Å, with angles of 90.00, 90.00 and 90.00 degrees. Symmetry generates all atoms from Zr at (0.2500, 0.0717, 0.0968), Zr at (0.2500, 0.2500, 0.6207), Zr at (0.2500, 0.7500, 0.0364) and Hg at (0.2500, 0.5856, 0.5713).

The calculation puts the energy relative to the elements at -17 meV per atom.

=====

# ZrHg

ZrHg after structural relaxation (PBE-GGA, OQMD).

The space group is Pmmn (No. 59, origin choice 2) and the conventional cell measures 3.1375, 5.3053 and 10.8061 Å, with angles of 90.00, 90.00 and 90.00 degrees. Symmetry generates all atoms from Zr at (0.2500, 0.2500, 0.0447), Zr at (0.2500, 0.7500, 0.2042), Hg at (0.2500, 0.2500, 0.5486) and Hg at (0.2500, 0.7500, 0.7098).

The calculation puts the energy relative to the elements at -40 meV per atom.

=====

# ZrHg

ZrHg after structural relaxation (PBE-GGA, OQMD).

The space group is P2_1/m (No. 11) and the conventional cell measures 6.3162, 5.1110 and 8.3009 Å, with angles of 90.00, 101.09 and 90.00 degrees. Symmetry generates all atoms from Zr at (0.1363, 0.2500, 0.0439), Zr at (0.1941, 0.7500, 0.2832), Zr at (0.3571, 0.7500, 0.9395), Hg at (0.0220, 0.7500, 0.6118), Hg at (0.3127, 0.2500, 0.7258) and Hg at (0.4655, 0.2500, 0.3872).

The calculation puts the energy relative to the elements at -29 meV per atom.

=====

# ZrHg

ZrHg after structural relaxation (PBE-GGA, OQMD).

The space group is Pnma (No. 62) and the conventional cell measures 5.6931, 5.0308 and 6.0017 Å, with angles of 90.00, 90.00 and 90.00 degrees. Symmetry generates all atoms from Zr at (0.1319, 0.2500, 0.1283) and Hg at (0.1047, 0.2500, 0.6281).

The calculation puts the energy relative to the elements at -89 meV per atom.

=====

# ZrHg

ZrHg after structural relaxation (PBE-GGA, OQMD).

The space group is Pmc2_1 (No. 26) and the conventional cell measures 5.0433, 9.2166 and 5.6007 Å, with angles of 90.00, 90.00 and 90.00 degrees. Symmetry generates all atoms from Zr at (0.0000, 0.0537, 0.0000), Zr at (0.0000, 0.2787, 0.4590), Zr at (0.5000, 0.2197, 0.7821), Hg at (0.0000, 0.3880, 0.9487), Hg at (0.5000, 0.1026, 0.2930) and Hg at (0.5000, 0.4317, 0.2897).

The calculation puts the energy relative to the elements at -33 meV per atom.

=====

Question: Which value of energy relative to the elements does entry 1 give?
Answer: -27 meV per atom

=====

Question: The highest energy relative to the elements belongs to which entry?
Answer: number 2

=====

Question: Which of these has the highest energy relative to the elements?
Answer: number 2